# 1
# Pu2ZrGe (PBE, optimized geometry)
data_Pu2ZrGe
_chemical_formula_sum 'Pu2 Zr1 Ge1'
_cell_length_a 4.255
_cell_length_b 4.255
_cell_length_c 4.769
_cell_angle_alpha 90.00
_cell_angle_beta 90.00
_cell_angle_gamma 90.00
_space_group_name_H-M_alt 'P 4/m m m'
_space_group_IT_number 123
_space_group_name_Hall '-P 4 2'
loop_
_atom_site_label
_atom_site_type_symbol
_atom_site_fract_x
_atom_site_fract_y
_atom_site_fract_z
Pu1 Pu 0.000 0.500 0.000
Zr1 Zr 0.000 0.000 0.500
Ge1 Ge 0.500 0.500 0.500
# Magnetization: 10.41 μB per cell
# Energy of formation: -0.2874 eV/atom
# E: -42.98 eV/cell

# 2
# Pm3Y2HoBi6 (PBE, optimized geometry)
data_Pm3Y2HoBi6
_chemical_formula_sum 'Pm6 Y4 Ho2 Bi12'
_cell_length_a 19.726
_cell_length_b 4.530
_cell_length_c 9.052
_cell_angle_alpha 90.00
_cell_angle_beta 103.14
_cell_angle_gamma 90.00
_space_group_name_H-M_alt 'C 1 2/m 1'
_space_group_IT_number 12
_space_group_name_Hall '-C 2y'
loop_
_atom_site_label
_atom_site_type_symbol
_atom_site_fract_x
_atom_site_fract_y
_atom_site_fract_z
Pm1 Pm 0.000 0.000 0.000
Pm2 Pm 0.167 0.500 0.333
Y1 Y 0.167 0.500 0.833
Ho1 Ho 0.000 0.000 0.500
Bi1 Bi 0.001 0.500 0.745
Bi2 Bi 0.165 0.000 0.586
Bi3 Bi 0.168 0.000 0.080
# Magnetization: 0.00 μB per cell
# Energy of formation: -0.9080 eV/atom
# E: -131.88 eV/cell

# 3
# Mg2Si3Pd2 (PBE, optimized geometry)
data_Mg2Si3Pd2
_chemical_formula_sum 'Mg4 Si6 Pd4'
_cell_length_a 9.611
_cell_length_b 4.079
_cell_length_c 6.411
_cell_angle_alpha 90.00
_cell_angle_beta 115.32
_cell_angle_gamma 90.00
_space_group_name_H-M_alt 'C 1 2/m 1'
_space_group_IT_number 12
_space_group_name_Hall '-C 2y'
loop_
_atom_site_label
_atom_site_type_symbol
_atom_site_fract_x
_atom_site_fract_y
_atom_site_fract_z
Mg1 Mg 0.159 0.000 0.293
Si1 Si 0.000 0.500 0.500
Si2 Si 0.108 0.500 0.951
Pd1 Pd 0.134 0.000 0.724
# Magnetization: 0.00 μB per cell
# E: -65.24 eV/cell
# E_form (uncorrected): -0.40 eV/atom

# 4
# Na3Hg2Sb4Pd2 (PBE, optimized geometry)
data_Na3Hg2Sb4Pd2
_chemical_formula_sum 'Na3 Hg2 Sb4 Pd2'
_cell_length_a 4.5988
_cell_length_b 4.5988
_cell_length_c 16.3828
_cell_angle_alpha 90.00
_cell_angle_beta 90.00
_cell_angle_gamma 120.00
_space_group_name_H-M_alt 'P -3 m 1'
_space_group_IT_number 164
_space_group_name_Hall '-P 3 2"'
loop_
_atom_site_label
_atom_site_type_symbol
_atom_site_fract_x
_atom_site_fract_y
_atom_site_fract_z
Na1 Na 0.0000 0.0000 0.0000
Na2 Na 0.0000 0.0000 0.2877
Hg1 Hg 0.3333 0.6667 0.1774
Sb1 Sb 0.3333 0.6667 0.4034
Sb2 Sb 0.3333 0.6667 0.8712
Pd1 Pd 0.3333 0.6667 0.5623
# Magnetization: 0.00 μB per cell
# E: -34.11 eV/cell
# E_form (uncorrected): -0.24 eV/atom

# 5
# Ga2Cu5Pd (PBE, optimized geometry)
data_Ga2Cu5Pd
_chemical_formula_sum 'Ga4 Cu10 Pd2'
_cell_length_a 5.272
_cell_length_b 10.588
_cell_length_c 3.758
_cell_angle_alpha 90.00
_cell_angle_beta 90.00
_cell_angle_gamma 90.00
_space_group_name_H-M_alt 'P b a m'
_space_group_IT_number 55
_space_group_name_Hall '-P 2 2ab'
loop_
_atom_site_label
_atom_site_type_symbol
_atom_site_fract_x
_atom_site_fract_y
_atom_site_fract_z
Ga1 Ga 0.244 0.124 0.000
Cu1 Cu 0.000 0.500 0.500
Cu2 Cu 0.011 0.744 0.500
Cu3 Cu 0.239 0.368 0.000
Pd1 Pd 0.000 0.000 0.500
# Magnetization: 0.00 μB per cell
# Energy of formation: -0.1934 eV/atom
# E: -66.55 eV/cell

# 6
# CaCd3O (PBE, optimized geometry)
data_CaCd3O
_chemical_formula_sum 'Ca1 Cd3 O1'
_cell_length_a 6.161
_cell_length_b 6.161
_cell_length_c 6.161
_cell_angle_alpha 90.00
_cell_angle_beta 90.00
_cell_angle_gamma 90.00
_space_group_name_H-M_alt 'P m -3 m'
_space_group_IT_number 221
_space_group_name_Hall '-P 4 2 3'
loop_
_atom_site_label
_atom_site_type_symbol
_atom_site_fract_x
_atom_site_fract_y
_atom_site_fract_z
Ca1 Ca 0.000 0.000 0.000
Cd1 Cd 0.000 0.000 0.500
O1 O 0.500 0.500 0.500
# Magnetization: 0.00 μB per cell
# Energy above the most stable polymorph in this dataset: 1097.1 meV per atom
# E: -5.18 eV/cell
# E_form (uncorrected): 0.91 eV/atom

# 7
# Nd2Th2Pd15 (PBE, optimized geometry)
data_Nd2Th2Pd15
_chemical_formula_sum 'Nd6 Th6 Pd45'
_cell_length_a 9.3452
_cell_length_b 9.3452
_cell_length_c 14.2881
_cell_angle_alpha 90.00
_cell_angle_beta 90.00
_cell_angle_gamma 120.00
_space_group_name_H-M_alt 'R -3 m'
_space_group_IT_number 166
_space_group_name_Hall '-R 3 2"'
loop_
_atom_site_label
_atom_site_type_symbol
_atom_site_fract_x
_atom_site_fract_y
_atom_site_fract_z
Nd1 Nd 0.0000 0.0000 0.1345
Th1 Th 0.0000 0.0000 0.3882
Pd1 Pd 0.0000 0.3098 0.5000
Pd2 Pd 0.0000 0.5000 0.0000
Pd3 Pd 0.0062 0.5031 0.6557
# Magnetization: 0.00 μB per cell
# Energy of formation: -0.5779 eV/atom
# E: -339.74 eV/cell

# 8
# Tb12Hg6Rh (PBE, optimized geometry)
data_Tb12Hg6Rh
_chemical_formula_sum 'Tb36 Hg18 Rh3'
_cell_length_a 12.0529
_cell_length_b 12.0529
_cell_length_c 13.2871
_cell_angle_alpha 90.00
_cell_angle_beta 90.00
_cell_angle_gamma 120.00
_space_group_name_H-M_alt 'R -3'
_space_group_IT_number 148
_space_group_name_Hall '-R 3'
loop_
_atom_site_label
_atom_site_type_symbol
_atom_site_fract_x
_atom_site_fract_y
_atom_site_fract_z
Tb1 Tb 0.0305 0.1907 0.3763
Tb2 Tb 0.0358 0.8472 0.8905
Hg1 Hg 0.0064 0.6098 0.7574
Rh1 Rh 0.0000 0.0000 0.5000
# Magnetization: 0.00 μB per cell
# Energy of formation: -0.2789 eV/atom
# E: -210.07 eV/cell

# 9
# La2NpP3Pd4 (PBE, optimized geometry)
data_La2NpP3Pd4
_chemical_formula_sum 'La2 Np1 P3 Pd4'
_cell_length_a 4.174
_cell_length_b 4.174
_cell_length_c 11.414
_cell_angle_alpha 90.00
_cell_angle_beta 90.00
_cell_angle_gamma 90.00
_space_group_name_H-M_alt 'P -4 m 2'
_space_group_IT_number 115
_space_group_name_Hall 'P -4 -2'
loop_
_atom_site_label
_atom_site_type_symbol
_atom_site_fract_x
_atom_site_fract_y
_atom_site_fract_z
La1 La 0.000 0.500 0.215
Np1 Np 0.000 0.000 0.500
P1 P 0.000 0.500 0.876
P2 P 0.500 0.500 0.500
Pd1 Pd 0.000 0.000 0.000
Pd2 Pd 0.000 0.500 0.666
Pd3 Pd 0.500 0.500 0.000
# Magnetization: 4.21 μB per cell
# Energy of formation: -0.8473 eV/atom
# E: -68.27 eV/cell

# 10
# PaInPtAu (PBE, optimized geometry)
data_PaInPtAu
_chemical_formula_sum 'Pa4 In4 Pt4 Au4'
_cell_length_a 6.959
_cell_length_b 6.959
_cell_length_c 6.959
_cell_angle_alpha 90.00
_cell_angle_beta 90.00
_cell_angle_gamma 90.00
_space_group_name_H-M_alt 'F -4 3 m'
_space_group_IT_number 216
_space_group_name_Hall 'F -4 2 3'
loop_
_atom_site_label
_atom_site_type_symbol
_atom_site_fract_x
_atom_site_fract_y
_atom_site_fract_z
Pa1 Pa 0.000 0.000 0.000
In1 In 0.000 0.000 0.500
Pt1 Pt 0.250 0.250 0.750
Au1 Au 0.250 0.250 0.250
# Magnetization: 0.00 μB per cell
# Energy of formation: -0.5973 eV/atom
# E: -95.77 eV/cell